# 1
Below is a geometry-optimized Cu4Tc2Pd structure, with properties calculated at the GGA-PBE level.

a = 4.649 Å, b = 4.649 Å, c = 6.865 Å
α = 70.21°, β = 70.21°, γ = 90.00°
Site moments in Bohr magnetons follow the coordinates.
Atoms (fractional coordinates):
Cu1 0.798 0.798 0.404  -0.01
Cu2 0.202 0.202 0.596  -0.01
Cu3 0.000 0.500 0.000  0.01
Cu4 0.500 0.000 0.000  0.01
Tc1 0.594 0.594 0.813  0.51
Tc2 0.406 0.406 0.187  0.51
Pd1 0.000 0.000 0.000  0.03

ΔE_f ... 1.184 eV/atom
Calculated total energy ... -4.861 eV per atom
Total magnetization ... 1.13 μB/cell



# 2
Below is a geometry-optimized Na4UMn3Se8 structure, with properties calculated at the GGA-PBE level.

a = 7.845 Å, b = 8.316 Å, c = 7.848 Å
α = 118.15°, β = 119.99°, γ = 90.00°
Site moments in Bohr magnetons follow the coordinates.
Atoms (fractional coordinates):
Na1 0.500 0.000 0.000  0.00
Na2 0.500 0.000 0.500  0.01
Na3 0.000 0.000 0.000  0.01
Na4 0.000 0.000 0.500  0.01
U1 0.000 0.500 0.000  1.77
Mn1 0.500 0.500 0.000  4.08
Mn2 0.500 0.500 0.500  4.08
Mn3 0.000 0.500 0.500  4.08
Se1 0.244 0.719 0.976  -0.02
Se2 0.243 0.719 0.487  -0.02
Se3 0.268 0.303 0.535  -0.01
Se4 0.732 0.719 0.976  -0.02
Se5 0.268 0.281 0.024  -0.02
Se6 0.732 0.697 0.465  -0.01
Se7 0.757 0.281 0.513  -0.02
Se8 0.756 0.281 0.024  -0.02

Formation energy without anion corrections ... -0.88 eV/atom
Calculated total energy ... -5.374 eV per atom
Total magnetization ... 15.00 μB/cell



# 3
Below is a geometry-optimized SiSbO2F structure, with properties calculated at the GGA-PBE level.

a = 4.144 Å, b = 4.144 Å, c = 4.278 Å
α = 90.00°, β = 90.00°, γ = 90.00°
Atoms (fractional coordinates):
Sb1 0.000 0.000 0.000
Si1 0.500 0.500 0.500
O1 0.000 0.500 0.000
O2 0.500 0.000 0.000
F1 0.000 0.000 0.500

Formation energy without anion corrections ... -0.58 eV/atom
Calculated total energy ... -4.848 eV per atom
Total magnetization ... 0.00 μB/cell



# 4
Below is a geometry-optimized RbNiSbW2 structure, with properties calculated at the GGA-PBE level.

a = 5.237 Å, b = 4.923 Å, c = 5.237 Å
α = 90.00°, β = 90.00°, γ = 90.00°
Site moments in Bohr magnetons follow the coordinates.
Atoms (fractional coordinates):
Sb1 0.000 0.000 0.000  -0.05
Rb1 0.500 0.500 0.500  0.05
W1 0.000 0.000 0.500  2.11
W2 0.500 0.000 0.000  1.76
Ni1 0.000 0.500 0.000  0.34

Formation energy without anion corrections ... 2.11 eV/atom
Calculated total energy ... -5.245 eV per atom
Total magnetization ... 5.64 μB/cell



# 5
Below is a geometry-optimized Pu3Ga6Au5 structure, with properties calculated at the GGA-PBE level.

a = 4.567 Å, b = 9.315 Å, c = 13.229 Å
α = 90.00°, β = 90.00°, γ = 90.00°
Site moments in Bohr magnetons follow the coordinates.
Atoms (fractional coordinates):
Pu1 0.000 0.252 0.705  5.31
Pu2 0.500 0.748 0.205  5.31
Pu3 0.500 0.748 0.795  5.31
Pu4 0.000 0.250 0.000  5.42
Pu5 0.500 0.750 0.500  5.42
Pu6 0.000 0.252 0.295  5.31
Ga1 0.000 0.970 0.849  0.00
Ga2 0.500 0.030 0.651  0.00
Ga3 0.500 0.393 0.838  0.01
Ga4 0.500 0.580 0.000  0.00
Ga5 0.000 0.420 0.500  0.00
Ga6 0.000 0.607 0.662  0.01
Ga7 0.000 0.607 0.338  0.01
Ga8 0.500 0.934 0.000  0.00
Ga9 0.000 0.970 0.151  0.00
Ga10 0.500 0.393 0.162  0.01
Ga11 0.000 0.066 0.500  0.00
Ga12 0.500 0.030 0.349  0.00
Au1 0.000 0.528 0.864  0.02
Au2 0.000 0.884 0.652  0.00
Au3 0.000 0.775 0.000  0.01
Au4 0.500 0.472 0.636  0.02
Au5 0.500 0.225 0.500  0.01
Au6 0.000 0.528 0.136  0.02
Au7 0.500 0.472 0.364  0.02
Au8 0.000 0.884 0.348  0.00
Au9 0.500 0.116 0.848  0.00
Au10 0.500 0.116 0.152  0.00

ΔE_f ... -0.412 eV/atom
Calculated total energy ... -5.951 eV per atom
Total magnetization ... 33.96 μB/cell



# 6
Below is a geometry-optimized La2TlSbAs structure, with properties calculated at the GGA-PBE level.

a = 6.115 Å, b = 4.951 Å, c = 6.115 Å
α = 90.00°, β = 90.00°, γ = 90.00°
Atoms (fractional coordinates):
Sb1 0.500 0.500 0.500
Tl1 0.000 0.000 0.000
As1 0.000 0.500 0.000
La1 0.000 0.000 0.500
La2 0.500 0.000 0.000

Formation energy without anion corrections ... 0.09 eV/atom
Calculated total energy ... -4.111 eV per atom
Total magnetization ... 0.00 μB/cell



Number 1: Fermi-level density of states 0.66 states/eV/atom. Number 2: Fermi-level density of states 0.55 states/eV/atom. Number 3: Fermi-level density of states 0.55 states/eV/atom. Number 4: Fermi-level density of states 1.51 states/eV/atom. Number 5: Fermi-level density of states 2.82 states/eV/atom. Number 6: Fermi-level density of states 1.35 states/eV/atom.